Here is a relaxed structure of FeBrO2F from the Alexandria database. Energies are from GGA+U.

Properties
- SG = P4/mmm (123)
- VASP energy (eV per atom) = -3.6117
- N(E_F) (states/eV per atom) = 0.383
- crystal system = tetragonal
- calculated volume (Å³/f.u.) = 78.97

a = 3.8319 Å, b = 3.8319 Å, c = 5.3782 Å
α = 90.00°, β = 90.00°, γ = 90.00°
Last column: nearest neighbours and their distance in Å.
Positions (direct):
Fe  0.0000  0.0000  0.0000  4 F 2.71
Br  0.5000  0.5000  0.5000  4 O 1.92
O  0.0000  0.5000  0.5000  2 Br 1.92
O  0.5000  0.0000  0.5000  2 Br 1.92
F  0.5000  0.5000  0.0000  2 Br 2.69, 4 Fe 2.71